Entry from Alexandria via LeMat-Bulk: a relaxed structure of HgGeTe2 (PBE-GGA).

a = 6.6430 Å, b = 6.6430 Å, c = 13.7776 Å
α = 90.00°, β = 90.00°, γ = 90.00°
Space group I-42d (No. 122)
Symmetry-distinct sites (fractional):
Hg (0.0000, 0.0000, 0.0000) x4
Ge (0.0000, 0.0000, 0.5000) x4
Te (0.2475, 0.2500, 0.1250) x8


Entry from Alexandria via LeMat-Bulk: a relaxed structure of Hg3GeTe (PBE-GGA).

a = 5.3032 Å, b = 5.3032 Å, c = 5.3032 Å
α = 90.00°, β = 90.00°, γ = 90.00°
Space group Pm-3m (No. 221)
Symmetry-distinct sites (fractional):
Hg (0.0000, 0.0000, 0.5000) x3
Ge (0.0000, 0.0000, 0.0000) x1
Te (0.5000, 0.5000, 0.5000) x1


Entry from Alexandria via LeMat-Bulk: a relaxed structure of HgGe2Te2 (PBE-GGA).

a = 9.6156 Å, b = 11.5410 Å, c = 7.4123 Å
α = 90.00°, β = 125.86°, γ = 90.00°
Space group C2/c (No. 15)
Symmetry-distinct sites (fractional):
Hg (0.0000, 0.0888, 0.2500) x4
Ge (0.1898, 0.4198, 0.0631) x8
Te (0.0000, 0.2497, 0.7500) x4
Te (0.0000, 0.3945, 0.2500) x4


Entry from Alexandria via LeMat-Bulk: a relaxed structure of HgGeTe4 (PBE-GGA).

a = 6.1029 Å, b = 6.1029 Å, c = 10.5192 Å
α = 90.00°, β = 90.00°, γ = 90.00°
Space group I-4 (No. 82)
Symmetry-distinct sites (fractional):
Hg (0.0000, 0.0000, 0.0000) x2
Ge (0.0000, 0.5000, 0.2500) x2
Te (0.1920, 0.2109, 0.6188) x8


Entry from Alexandria via LeMat-Bulk: a relaxed structure of HgGeTe (PBE-GGA).

a = 4.2507 Å, b = 4.2507 Å, c = 5.7218 Å
α = 90.00°, β = 90.00°, γ = 120.00°
Space group P3m1 (No. 156)
Symmetry-distinct sites (fractional):
Hg (0.0000, 0.0000, 0.0000) x1
Ge (0.6667, 0.3333, 0.3229) x1
Te (0.3333, 0.6667, 0.5733) x1


Entry from Alexandria via LeMat-Bulk: a relaxed structure of HgGe2Te2 (PBE-GGA).

a = 8.4056 Å, b = 8.4056 Å, c = 3.8491 Å
α = 90.00°, β = 90.00°, γ = 90.00°
Space group P4/mbm (No. 127)
Symmetry-distinct sites (fractional):
Hg (0.0000, 0.0000, 0.0000) x2
Ge (0.1338, 0.3662, 0.5000) x4
Te (0.1534, 0.6534, 0.0000) x4


What energy relative to the elements, uncorrected values result from the calculations? In sequence: 0.04; 0.26; 0.07; 0.08; -0.02; 0.20 eV per atom.
What calculated total energy values result from the calculations? In sequence: -2.758; -1.475; -3.089; -2.838; -2.711; -2.968 eV/atom.
What calculated density values result from the calculations? In sequence: 5773; 8929; 5989; 6643; 7434; 7340 kg/m3.